The following is a PBE calculation of an optimized crystal structure of TiGeIr3, from the Alexandria database.

Output
space group: Pm-3m, No. 221
total DFT energy (no corrections): -7.039 eV per atom
N(E_F): 9.18 states/eV per cell
energy above the most stable polymorph in this dataset: 0.000 eV per atom

abc: 4.5227 4.5227 4.5227
angles: 90.00 90.00 90.00
Closest atoms and distances in Å follow each position.
Atoms (fractional coordinates):
Ti: 0.0000 0.0000 0.0000  12 Ir 3.20
Ge: 0.5000 0.5000 0.5000  6 Ir 2.26
Ir: 0.0000 0.5000 0.5000  2 Ge 2.26
Ir: 0.5000 0.0000 0.5000  2 Ge 2.26
Ir: 0.5000 0.5000 0.0000  2 Ge 2.26